A geometry-optimized K2InWO6 structure, computed with PBE with a Hubbard U.

abc: 5.846 5.846 5.846
angles: 60.00 60.00 60.00
Fractional coordinates of all 10 atoms:
1 K 0.250 0.250 0.250
2 K 0.750 0.750 0.750
3 In 0.000 0.000 0.000
4 W 0.500 0.500 0.500
5 O 0.264 0.264 0.736
6 O 0.264 0.736 0.264
7 O 0.264 0.736 0.736
8 O 0.736 0.264 0.264
9 O 0.736 0.264 0.736
10 O 0.736 0.736 0.264

Output
Magnetization (μB/f.u.): 0.99
Total energy (eV/atom): -5.9187